Entry 1:
Material: DyGe2Os
Method: DFT, PBE
State: relaxed

E_form (eV/atom): -0.502
Energy (eV/cell): -108.291
Magnetization (Bohr magnetons per cell): 0.00

a = 4.2546 Å, b = 9.0576 Å, c = 9.4666 Å
α = 118.58°, β = 102.99°, γ = 90.00°
With the nearest neighbours (Å) after each atom.
Fractional positions:
Dy: 0.7087 0.7087 0.4174  8 Ge 2.95-3.09, 6 Os 3.29
Dy: 0.5000 0.2580 0.0000  4 Os 3.13, 10 Ge 3.31-3.41
Dy: 0.5000 0.7420 0.0000  4 Os 3.13, 10 Ge 3.31-3.41
Dy: 0.2913 0.2913 0.5826  8 Ge 2.95-3.09, 6 Os 3.29
Ge: 0.9214 0.4214 0.8428  2 Os 2.49, 1 Ge 2.53
Ge: 0.7015 0.3607 0.4031  3 Os 2.47-2.64
Ge: 0.7015 0.0423 0.4031  3 Os 2.47-2.64
Ge: 0.2985 0.6393 0.5969  3 Os 2.47-2.64
Ge: 0.0803 0.0803 0.1606  2 Os 2.47, 1 Ge 2.58
Ge: 0.0786 0.5786 0.1572  2 Os 2.49, 1 Ge 2.53
Ge: 0.9197 0.9197 0.8394  2 Os 2.47, 1 Ge 2.58
Ge: 0.2985 0.9577 0.5969  3 Os 2.47-2.64
Os: 0.8576 0.6082 0.7152  5 Ge 2.47-2.64
Os: 0.1424 0.3918 0.2848  5 Ge 2.47-2.64
Os: 0.1424 0.8930 0.2848  5 Ge 2.47-2.64
Os: 0.8576 0.1070 0.7152  5 Ge 2.47-2.64


Entry 2:
Material: DyGe4Os2
Method: DFT, PBE
State: relaxed

E_form (eV/atom): -0.307
Energy (eV/cell): -190.713
Magnetization (Bohr magnetons per cell): 0.00

a = 4.2006 Å, b = 6.8020 Å, c = 17.0437 Å
α = 90.00°, β = 90.00°, γ = 90.00°
With the nearest neighbours (Å) after each atom.
Fractional positions:
Ge: 0.2500 0.3141 0.6902  3 Os 2.57-2.61
Ge: 0.7500 0.6859 0.3098  3 Os 2.57-2.61
Ge: 0.7500 0.8141 0.8098  3 Os 2.57-2.61
Ge: 0.2500 0.1859 0.1902  3 Os 2.57-2.61
Ge: 0.2500 0.7478 0.6902  4 Os 2.56-2.60
Ge: 0.7500 0.2522 0.3098  4 Os 2.56-2.60
Ge: 0.7500 0.2478 0.8098  4 Os 2.56-2.60
Ge: 0.2500 0.7522 0.1902  4 Os 2.56-2.60
Ge: 0.2500 0.1353 0.5298  3 Os 2.52-2.57
Ge: 0.7500 0.8647 0.4702  3 Os 2.52-2.57
Ge: 0.7500 0.6353 0.9702  3 Os 2.52-2.57
Ge: 0.2500 0.3647 0.0298  3 Os 2.52-2.57
Ge: 0.2500 0.4851 0.4392  4 Os 2.51-2.70
Ge: 0.7500 0.5149 0.5608  4 Os 2.51-2.70
Ge: 0.7500 0.9851 0.0608  4 Os 2.51-2.70
Ge: 0.2500 0.0149 0.9392  4 Os 2.51-2.70
Os: 0.2500 0.7586 0.5400  7 Ge 2.52-2.70
Os: 0.7500 0.2414 0.4600  7 Ge 2.52-2.70
Os: 0.7500 0.2586 0.9600  7 Ge 2.52-2.70
Os: 0.2500 0.7414 0.0400  7 Ge 2.52-2.70
Os: 0.2500 0.0273 0.7921  7 Ge 2.51-2.61
Os: 0.7500 0.9727 0.2079  7 Ge 2.51-2.61
Os: 0.7500 0.5273 0.7079  7 Ge 2.51-2.61
Os: 0.2500 0.4727 0.2921  7 Ge 2.51-2.61
Dy: 0.7500 0.0399 0.6437  9 Ge 2.92-3.22
Dy: 0.2500 0.9601 0.3563  9 Ge 2.92-3.22
Dy: 0.2500 0.5399 0.8563  9 Ge 2.92-3.22
Dy: 0.7500 0.4601 0.1437  9 Ge 2.92-3.22


Entry 3:
Material: DyGeOs
Method: DFT, PBE
State: relaxed

E_form (eV/atom): -0.602
Energy (eV/cell): -44.513
Magnetization (Bohr magnetons per cell): 0.00

a = 4.1917 Å, b = 4.1917 Å, c = 7.4450 Å
α = 106.36°, β = 106.36°, γ = 90.01°
With the nearest neighbours (Å) after each atom.
Fractional positions:
Dy: 0.3508 0.3508 0.7018  4 Os 2.92, 5 Ge 3.00-3.22
Dy: 0.6492 0.6492 0.2982  4 Os 2.92, 5 Ge 3.00-3.22
Ge: 0.8848 0.8848 0.7700  4 Os 2.62
Ge: 0.1152 0.1152 0.2300  4 Os 2.62
Os: 0.5000 0.0000 0.0000  4 Ge 2.62, 4 Dy 2.92
Os: 0.0000 0.5000 0.0000  4 Ge 2.62, 4 Dy 2.92


Entry 4:
Material: DyGe12Os4
Method: DFT, PBE
State: relaxed

E_form (eV/atom): 0.119
Energy (eV/cell): -102.913
Magnetization (Bohr magnetons per cell): 0.00

a = 7.5741 Å, b = 7.5741 Å, c = 7.5741 Å
α = 109.47°, β = 109.47°, γ = 109.47°
With the nearest neighbours (Å) after each atom.
Fractional positions:
Dy: 0.0000 0.0000 0.0000  12 Ge 3.23
Ge: 0.8469 0.3366 0.1835  2 Os 2.46, 1 Ge 2.68
Ge: 0.3366 0.4897 0.1531  2 Os 2.46, 1 Ge 2.68
Ge: 0.8165 0.1531 0.6634  2 Os 2.46, 1 Ge 2.68
Ge: 0.3366 0.1835 0.8469  2 Os 2.46, 1 Ge 2.68
Ge: 0.1835 0.8469 0.3366  2 Os 2.46, 1 Ge 2.68
Ge: 0.6634 0.5103 0.8469  2 Os 2.46, 1 Ge 2.68
Ge: 0.4897 0.1531 0.3366  2 Os 2.46, 1 Ge 2.68
Ge: 0.5103 0.8469 0.6634  2 Os 2.46, 1 Ge 2.68
Ge: 0.6634 0.8165 0.1531  2 Os 2.46, 1 Ge 2.68
Ge: 0.8469 0.6634 0.5103  2 Os 2.46, 1 Ge 2.68
Ge: 0.1531 0.3366 0.4897  2 Os 2.46, 1 Ge 2.68
Ge: 0.1531 0.6634 0.8165  2 Os 2.46, 1 Ge 2.68
Os: 0.0000 0.5000 0.0000  6 Ge 2.46
Os: 0.5000 0.0000 0.0000  6 Ge 2.46
Os: 0.5000 0.5000 0.5000  6 Ge 2.46
Os: 0.0000 0.0000 0.5000  6 Ge 2.46